Entry 1:
# GGA-PBE TmBiAs2, relaxed
data_TmBiAs2
_cell_length_a 4.1669
_cell_length_b 4.1669
_cell_length_c 20.5886
_cell_angle_alpha 90.00
_cell_angle_beta 90.00
_cell_angle_gamma 120.00
_space_group_name_H-M_alt 'R -3 m'
_space_group_IT_number 166
_space_group_name_Hall '-R 3 2"'
loop_
_atom_site_label
_atom_site_type_symbol
_atom_site_fract_x
_atom_site_fract_y
_atom_site_fract_z
Tm1 Tm 0.0000 0.0000 0.0000
Bi1 Bi 0.0000 0.0000 0.5000
As1 As 0.0000 0.0000 0.2543
# Crystal system: trigonal



Entry 2:
# GGA-PBE SmBi4, relaxed
data_SmBi4
_cell_length_a 5.966
_cell_length_b 5.966
_cell_length_c 5.966
_cell_angle_alpha 90.00
_cell_angle_beta 90.00
_cell_angle_gamma 90.00
_space_group_name_H-M_alt 'P m -3 m'
_space_group_IT_number 221
_space_group_name_Hall '-P 4 2 3'
loop_
_atom_site_label
_atom_site_type_symbol
_atom_site_fract_x
_atom_site_fract_y
_atom_site_fract_z
Sm1 Sm 0.000 0.000 0.000
Bi1 Bi 0.000 0.000 0.500
Bi2 Bi 0.500 0.500 0.500
# Crystal system: cubic
# ΔE to the lowest computed polymorph (eV/atom): 0.715



Entry 3:
# GGA-PBE Zn2CuAu, relaxed
data_Zn2CuAu
_cell_length_a 2.8093
_cell_length_b 2.8093
_cell_length_c 26.4678
_cell_angle_alpha 90.00
_cell_angle_beta 90.00
_cell_angle_gamma 120.00
_space_group_name_H-M_alt 'R -3 m'
_space_group_IT_number 166
_space_group_name_Hall '-R 3 2"'
loop_
_atom_site_label
_atom_site_type_symbol
_atom_site_fract_x
_atom_site_fract_y
_atom_site_fract_z
Zn1 Zn 0.0000 0.0000 0.2446
Cu1 Cu 0.0000 0.0000 0.5000
Au1 Au 0.0000 0.0000 0.0000
# Crystal system: trigonal



Entry 4:
# GGA-PBE CaTaBr2, relaxed
data_CaTaBr2
_cell_length_a 7.002
_cell_length_b 7.002
_cell_length_c 7.002
_cell_angle_alpha 90.00
_cell_angle_beta 90.00
_cell_angle_gamma 90.00
_space_group_name_H-M_alt 'F m -3 m'
_space_group_IT_number 225
_space_group_name_Hall '-F 4 2 3'
loop_
_atom_site_label
_atom_site_type_symbol
_atom_site_fract_x
_atom_site_fract_y
_atom_site_fract_z
Ca1 Ca 0.000 0.000 0.000
Ta1 Ta 0.000 0.000 0.500
Br1 Br 0.250 0.250 0.250
# Uncorrected formation energy (kcal/mol of atoms): 3.76
# Crystal system: cubic
# ΔE to the lowest computed polymorph (eV/atom): 0.579



no.,M_tot (μB/cell),final energy (eV/atom)
1,0.0,-5.062
2,0.0,-3.553
3,0.0,-2.549
4,3.4,-4.137